1.
TcPbSe2 (GGA-PBE, relaxed); formation energy from raw total energies = 95 meV/atom; E = -20.66 eV per formula unit; excess energy over the best structure of this formula in the dataset = 255 meV per atom; symmetry = P4mm (99)
1.0
-0.584 0.590 3.031
-0.798 -3.009 0.432
8.679 -2.005 2.063
Se Pb Tc
2 1 1
direct
0.000 0.000 0.988
0.500 0.500 0.335
0.500 0.500 0.710
0.000 0.000 0.467

---

2.
BaRh3Pb6 (GGA-PBE, relaxed); E = -48.67 eV per formula unit; calculated formation energy = -2.443 eV per formula unit; symmetry = Cmcm (63)
1.0
14.340 -0.014 0.000
-11.900 8.001 0.000
0.000 0.000 4.602
Pb Rh Ba
12 6 2
direct
0.866 0.134 0.750
0.845 0.752 0.750
0.250 0.750 0.750
0.527 0.870 0.250
0.155 0.248 0.250
0.752 0.845 0.250
0.130 0.473 0.250
0.750 0.250 0.250
0.870 0.527 0.750
0.248 0.155 0.750
0.134 0.866 0.250
0.473 0.130 0.750
0.028 0.594 0.250
0.963 0.037 0.750
0.037 0.963 0.250
0.594 0.028 0.750
0.406 0.972 0.250
0.972 0.406 0.750
0.410 0.590 0.750
0.590 0.410 0.250

---

3.
NiRh2Cl (GGA-PBE, relaxed); formation energy from raw total energies = 510 meV/atom; E = -20.29 eV per formula unit; excess energy over the best structure of this formula in the dataset = 288 meV per atom; symmetry = P2/m (10)
1.0
4.342 0.000 0.000
0.000 2.867 0.001
0.000 -0.013 4.638
Ni Rh Cl
1 2 1
direct
0.500 0.750 0.750
0.000 0.007 0.994
0.000 0.493 0.506
0.500 0.250 0.250

---

4.
Cd2SiS (GGA-PBE, relaxed); formation energy from raw total energies = 147 meV/atom; E = -10.79 eV per formula unit; excess energy over the best structure of this formula in the dataset = 0 meV per atom; symmetry = I-42d (122)
1.0
6.357 0.000 0.000
0.000 6.357 0.000
3.179 3.179 5.275
Si Cd S
2 4 2
direct
0.250 0.750 0.500
0.500 0.500 0.000
0.117 0.625 0.250
0.875 0.883 0.750
0.633 0.125 0.250
0.375 0.367 0.750
0.750 0.250 0.500
0.000 0.000 0.000

---

5.
Cs2GdH4 (GGA-PBE, relaxed); E = -30.85 eV per formula unit; symmetry = I4/mmm (139)
1.0
-2.161 2.075 3.407
-3.857 -0.099 -2.387
-4.784 -6.047 3.669
Cs H Gd
2 4 1
direct
0.655 0.655 0.690
0.345 0.345 0.310
0.500 0.000 0.000
0.856 0.856 0.289
0.144 0.144 0.711
0.000 0.500 0.000
0.000 0.000 0.000

---

6.
SrBe2Ru (GGA-PBE, relaxed); E = -15.34 eV per formula unit; excess energy over the best structure of this formula in the dataset = 828 meV per atom; calculated formation energy = 3.073 eV per formula unit; symmetry = P4/mmm (123)
1.0
4.469 0.000 0.000
0.000 4.469 0.000
0.000 0.000 3.137
Be Ru Sr
2 1 1
direct
0.500 0.500 0.000
0.000 0.000 0.000
0.500 0.000 0.500
0.000 0.500 0.500